(1)
Entry from Alexandria via LeMat-Bulk: a geometry-optimized LaNdEuCd structure (PBE-GGA).

- V: 130.0 Å³ per cell
- Formation enthalpy at 0 K: -0.0565 eV/atom
- Density: 6.99 g/cm³
- DFT total energy: -21.11 eV per cell

Structure (POSCAR):
```
LaNdEuCd
1.0
5.687 0.000 0.000
2.843 4.925 0.000
2.843 1.642 4.643
Cd La Eu Nd
1 1 1 1
Direct
0.250 0.250 0.250
0.500 0.500 0.500
0.750 0.750 0.750
0.000 0.000 0.000
```



(2)
Entry from Alexandria via LeMat-Bulk: a geometry-optimized Cs2InAgCl6 structure (PBE-GGA).

- V: 302.4 Å³ per cell
- Formation energy (no corrections): -1383.2 meV per atom
- Density: 3.85 g/cm³
- DFT total energy: -32.21 eV per cell

Structure (POSCAR):
```
Cs2InAgCl6
1.0
7.534 0.000 0.000
3.767 6.525 0.000
3.767 2.175 6.152
Cl Cs Ag In
6 2 1 1
Direct
0.241 0.759 0.759
0.759 0.241 0.759
0.241 0.241 0.759
0.759 0.241 0.241
0.759 0.759 0.241
0.241 0.759 0.241
0.250 0.250 0.250
0.750 0.750 0.750
0.500 0.500 0.500
0.000 0.000 0.000
```



(3)
Entry from Alexandria via LeMat-Bulk: a geometry-optimized Ca2ScRe structure (PBE-GGA).

- V: 107.4 Å³ per cell
- Formation enthalpy at 0 K: 0.4536 eV/atom
- Density: 4.81 g/cm³
- DFT total energy: -20.97 eV per cell
- Distance to the lowest polymorph of the same formula: 0.1823 eV per atom

Structure (POSCAR):
```
Ca2ScRe
1.0
-3.772 9.589 3.028
-5.730 7.582 5.001
-2.595 8.484 6.052
Re Ca Sc
1 2 1
Direct
0.494 0.494 0.494
0.004 0.004 0.004
0.231 0.231 0.231
0.771 0.771 0.771
```



(4)
Entry from Alexandria via LeMat-Bulk: a geometry-optimized InReSi2 structure (PBE-GGA).

- V: 197.2 Å³ per cell
- Formation energy (no corrections): 690.0 meV per atom
- Density: 6.02 g/cm³
- DFT total energy: -46.55 eV per cell

Structure (POSCAR):
```
InReSi2
1.0
5.878 0.000 0.000
0.000 5.878 0.000
2.939 2.939 5.709
Si In Re
4 2 2
Direct
0.875 0.935 0.750
0.375 0.315 0.750
0.685 0.125 0.250
0.065 0.625 0.250
0.500 0.500 0.000
0.250 0.750 0.500
0.000 0.000 0.000
0.750 0.250 0.500
```